(1)
Na2Be2Cu: relaxed, PBE-GGA.

a = 5.8476 Å, b = 5.8476 Å, c = 4.9425 Å
α = 90.00°, β = 90.00°, γ = 90.00°
With the nearest neighbours (Å) after each atom.
Fractional positions:
Be  0.8636  0.6364  0.0000  1 Be 2.26, 2 Cu 2.27
Be  0.6364  0.1364  0.0000  1 Be 2.26, 2 Cu 2.27
Be  0.3636  0.8636  0.0000  1 Be 2.26, 2 Cu 2.27
Be  0.1364  0.3636  0.0000  1 Be 2.26, 2 Cu 2.27
Cu  0.0000  0.0000  0.0000  4 Be 2.27
Cu  0.5000  0.5000  0.0000  4 Be 2.27
Na  0.8166  0.3166  0.5000  6 Be 2.89-3.11, 5 Na 3.03
Na  0.6834  0.8166  0.5000  6 Be 2.89-3.11, 5 Na 3.03
Na  0.1834  0.6834  0.5000  6 Be 2.89-3.11, 5 Na 3.03
Na  0.3166  0.1834  0.5000  6 Be 2.89-3.11, 5 Na 3.03

**Polymorph energy (0 for the lowest one)**: 0 meV per atom
**Total DFT energy (no corrections)**: -2.32 eV/atom
**Spin magnetization**: 0.000 Bohr magnetons per cell
**ΔH_f (0 K)**: 0.5179 eV/atom
**Space group**: P4/mbm

=====

(2)
Na2Be2CuO4: relaxed, PBE-GGA.

a = 2.8630 Å, b = 5.1076 Å, c = 7.0295 Å
α = 94.38°, β = 101.75°, γ = 90.00°
With the nearest neighbours (Å) after each atom.
Fractional positions:
O  0.7791  0.8146  0.5583  3 Be 1.67-1.74
O  0.4176  0.1231  0.8352  1 Be 1.61
O  0.2209  0.1854  0.4417  3 Be 1.67-1.74
O  0.5824  0.8769  0.1648  1 Be 1.61
Na  0.1489  0.5744  0.2979  5 O 2.29-2.53
Na  0.8511  0.4256  0.7021  5 O 2.29-2.53
Be  0.6887  0.0343  0.3775  4 O 1.61-1.74
Be  0.3113  0.9657  0.6225  4 O 1.61-1.74
Cu  0.0000  0.0000  0.0000  4 O 1.96

**Total DFT energy (no corrections)**: -5.57 eV/atom
**Spin magnetization**: 1.002 Bohr magnetons per cell
**Space group**: C2/m
**Raw formation energy**: -1790 meV/atom

=====

(3)
Na2BeCuP2: relaxed, PBE-GGA.

a = 5.3778 Å, b = 5.3370 Å, c = 7.8776 Å
α = 109.80°, β = 109.96°, γ = 90.00°
With the nearest neighbours (Å) after each atom.
Fractional positions:
Cu  0.0000  0.7500  0.0000  4 P 2.39, 2 Cu 2.67
Cu  0.0000  0.2500  0.0000  4 P 2.39, 2 Cu 2.67
P  0.8273  0.0980  0.1961  2 Be 2.27, 2 Cu 2.39
P  0.6312  0.4020  0.8039  2 Be 2.27, 2 Cu 2.39
P  0.3688  0.5980  0.1961  2 Be 2.27, 2 Cu 2.39
P  0.1727  0.9020  0.8039  2 Be 2.27, 2 Cu 2.39
Na  0.4122  0.1775  0.3550  5 P 2.88-3.10, 2 Cu 3.06, 2 Be 3.13
Na  0.0572  0.3225  0.6450  5 P 2.88-3.10, 2 Cu 3.06, 2 Be 3.13
Na  0.5878  0.8225  0.6450  5 P 2.88-3.10, 2 Cu 3.06, 2 Be 3.13
Na  0.9428  0.6775  0.3550  5 P 2.88-3.10, 2 Cu 3.06, 2 Be 3.13
Be  0.5000  0.7500  0.0000  4 P 2.27
Be  0.5000  0.2500  0.0000  4 P 2.27

**Total DFT energy (no corrections)**: -3.89 eV/atom
**Spin magnetization**: 0.000 Bohr magnetons per cell
**ΔH_f (0 K)**: -0.3391 eV/atom
**Space group**: Ibam

=====

(4)
NaBeCuP2: relaxed, PBE-GGA.

a = 3.9431 Å, b = 3.9431 Å, c = 5.4971 Å
α = 111.02°, β = 111.02°, γ = 90.00°
With the nearest neighbours (Å) after each atom.
Fractional positions:
P  0.3789  0.3789  0.7579  1 P 2.29, 2 Be 2.32, 2 Cu 2.32
P  0.6211  0.6211  0.2421  1 P 2.29, 2 Be 2.32, 2 Cu 2.32
Na  0.0000  0.0000  0.0000  8 P 3.01, 4 Cu 3.08, 4 Be 3.08
Be  0.7500  0.2500  0.5000  4 P 2.32
Cu  0.2500  0.7500  0.5000  4 P 2.32

**Total DFT energy (no corrections)**: -4.24 eV/atom
**Spin magnetization**: 0.000 Bohr magnetons per cell
**ΔH_f (0 K)**: -0.2462 eV/atom
**Space group**: I-4m2

=====

What is the formula in the fourth record? NaBeCuP2

=====

Which of these has the lowest total DFT energy (no corrections)? Na2Be2CuO4